The following is a DFT calculation (PBE) of a geometry-optimized Ta4CrSb structure.

As for the crystal system: cubic. As for the raw formation energy: 54 kJ per mole of atoms. Its density of states at the Fermi level is 6.67 states/eV/f.u. The calculation puts the size of the total moment at 8.4 μB per cell.

Structure (CIF):
```
data_Ta4CrSb
_chemical_formula_sum 'Ta16 Cr4 Sb4'
_cell_length_a 7.7644
_cell_length_b 7.7644
_cell_length_c 7.7644
_cell_angle_alpha 90.00
_cell_angle_beta 90.00
_cell_angle_gamma 90.00
_space_group_name_H-M_alt 'F -4 3 m'
_space_group_IT_number 216
_space_group_name_Hall 'F -4 2 3'
loop_
_atom_site_label
_atom_site_fract_x
_atom_site_fract_y
_atom_site_fract_z
Ta1 0.1249 0.1249 0.1249
Cr1 0.2500 0.2500 0.7500
Sb1 0.0000 0.0000 0.5000
```

---

The following is a DFT calculation (PBE) of a geometry-optimized TaCrSb structure.

As for the crystal system: trigonal. As for the raw formation energy: 33 kJ per mole of atoms. Its density of states at the Fermi level is 2.59 states/eV/f.u. The calculation puts the size of the total moment at 0.0 μB per cell.

Structure (CIF):
```
data_TaCrSb
_chemical_formula_sum 'Ta1 Cr1 Sb1'
_cell_length_a 4.4791
_cell_length_b 4.4791
_cell_length_c 2.9711
_cell_angle_alpha 90.00
_cell_angle_beta 90.00
_cell_angle_gamma 120.00
_space_group_name_H-M_alt 'P 3 m 1'
_space_group_IT_number 156
loop_
_space_group_symop_operation_xyz
'x,y,z'
'-y,x-y,z'
'-x+y,-x,z'
'-y,-x,z'
'-x+y,y,z'
'x,x-y,z'
loop_
_atom_site_label
_atom_site_fract_x
_atom_site_fract_y
_atom_site_fract_z
Ta1 0.0000 0.0000 0.0000
Cr1 0.3333 0.6667 0.3626
Sb1 0.6667 0.3333 0.4674
```

---

The following is a DFT calculation (PBE) of a geometry-optimized Ta2CrSb structure.

As for the crystal system: tetragonal. As for the raw formation energy: 58 kJ per mole of atoms. Its density of states at the Fermi level is 4.02 states/eV/f.u. Its energy above the most stable polymorph in this dataset is 1.87 eV per formula unit. The calculation puts the size of the total moment at 10.4 μB per cell.

Structure (CIF):
```
data_Ta2CrSb
_chemical_formula_sum 'Ta8 Cr4 Sb4'
_cell_length_a 3.9471
_cell_length_b 3.9471
_cell_length_c 20.1075
_cell_angle_alpha 90.00
_cell_angle_beta 90.00
_cell_angle_gamma 90.00
_space_group_name_H-M_alt 'I -4 2 d'
_space_group_IT_number 122
_space_group_name_Hall 'I -4 2bw'
loop_
_atom_site_label
_atom_site_fract_x
_atom_site_fract_y
_atom_site_fract_z
Ta1 0.2480 0.2500 0.1250
Cr1 0.0000 0.0000 0.0000
Sb1 0.0000 0.0000 0.5000
```

---

The following is a DFT calculation (PBE) of a geometry-optimized Ta2CrSb structure.

As for the crystal system: cubic. As for the raw formation energy: 39 kJ per mole of atoms. Its density of states at the Fermi level is 5.20 states/eV/f.u. Its energy above the most stable polymorph in this dataset is 1.07 eV per formula unit. The calculation puts the size of the total moment at 0.0 μB per cell.

Structure (CIF):
```
data_Ta2CrSb
_chemical_formula_sum 'Ta8 Cr4 Sb4'
_cell_length_a 6.5226
_cell_length_b 6.5226
_cell_length_c 6.5226
_cell_angle_alpha 90.00
_cell_angle_beta 90.00
_cell_angle_gamma 90.00
_space_group_name_H-M_alt 'F m -3 m'
_space_group_IT_number 225
_space_group_name_Hall '-F 4 2 3'
loop_
_atom_site_label
_atom_site_fract_x
_atom_site_fract_y
_atom_site_fract_z
Ta1 0.2500 0.2500 0.2500
Cr1 0.0000 0.0000 0.0000
Sb1 0.0000 0.0000 0.5000
```

---

The following is a DFT calculation (PBE) of a geometry-optimized Ta2CrSb structure.

As for the crystal system: orthorhombic. As for the raw formation energy: 27 kJ per mole of atoms. Its density of states at the Fermi level is 3.32 states/eV/f.u. Its energy above the most stable polymorph in this dataset is 0.58 eV per formula unit. The calculation puts the size of the total moment at 0.9 μB per cell.

Structure (CIF):
```
data_Ta2CrSb
_chemical_formula_sum 'Ta4 Cr2 Sb2'
_cell_length_a 3.4324
_cell_length_b 4.8952
_cell_length_c 8.5088
_cell_angle_alpha 90.00
_cell_angle_beta 90.00
_cell_angle_gamma 90.00
_space_group_name_H-M_alt 'C m m 2'
_space_group_IT_number 35
loop_
_space_group_symop_operation_xyz
'x,y,z'
'-x,-y,z'
'-x,y,z'
'x,-y,z'
'x+1/2,y+1/2,z'
'-x+1/2,-y+1/2,z'
'-x+1/2,y+1/2,z'
'x+1/2,-y+1/2,z'
loop_
_atom_site_label
_atom_site_fract_x
_atom_site_fract_y
_atom_site_fract_z
Ta1 0.0000 0.0000 0.0000
Ta2 0.0000 0.5000 0.2654
Cr1 0.0000 0.5000 0.7752
Sb1 0.0000 0.0000 0.5367
```

---

The following is a DFT calculation (PBE) of a geometry-optimized Ta2CrSb structure.

As for the crystal system: trigonal. As for the raw formation energy: 35 kJ per mole of atoms. Its density of states at the Fermi level is 5.24 states/eV/f.u. Its energy above the most stable polymorph in this dataset is 0.92 eV per formula unit. The calculation puts the size of the total moment at 0.0 μB per cell.

Structure (CIF):
```
data_Ta2CrSb
_chemical_formula_sum 'Ta6 Cr3 Sb3'
_cell_length_a 3.1413
_cell_length_b 3.1413
_cell_length_c 25.6047
_cell_angle_alpha 90.00
_cell_angle_beta 90.00
_cell_angle_gamma 120.00
_space_group_name_H-M_alt 'R -3 m'
_space_group_IT_number 166
_space_group_name_Hall '-R 3 2"'
loop_
_atom_site_label
_atom_site_fract_x
_atom_site_fract_y
_atom_site_fract_z
Ta1 0.0000 0.0000 0.2382
Cr1 0.0000 0.0000 0.5000
Sb1 0.0000 0.0000 0.0000
```

---

The following is a DFT calculation (PBE) of a geometry-optimized Ta2CrSb structure.

As for the crystal system: monoclinic. As for the raw formation energy: 21 kJ per mole of atoms. Its density of states at the Fermi level is 3.45 states/eV/f.u. Its energy above the most stable polymorph in this dataset is 0.35 eV per formula unit. The calculation puts the size of the total moment at 0.0 μB per cell.

Structure (CIF):
```
data_Ta2CrSb
_chemical_formula_sum 'Ta2 Cr1 Sb1'
_cell_length_a 3.0936
_cell_length_b 4.0924
_cell_length_c 5.5960
_cell_angle_alpha 90.00
_cell_angle_beta 96.42
_cell_angle_gamma 90.00
_space_group_name_H-M_alt 'P 1 2/m 1'
_space_group_IT_number 10
loop_
_space_group_symop_operation_xyz
'x,y,z'
'-x,-y,-z'
'-x,y,-z'
'x,-y,z'
loop_
_atom_site_label
_atom_site_fract_x
_atom_site_fract_y
_atom_site_fract_z
Ta1 0.0879 0.0000 0.2767
Cr1 0.5000 0.5000 0.5000
Sb1 0.5000 0.5000 0.0000
```

---

The following is a DFT calculation (PBE) of a geometry-optimized Ta2CrSb structure.

As for the crystal system: monoclinic. As for the raw formation energy: 22 kJ per mole of atoms. Its density of states at the Fermi level is 3.84 states/eV/f.u. Its energy above the most stable polymorph in this dataset is 0.37 eV per formula unit. The calculation puts the size of the total moment at 0.0 μB per cell.

Structure (CIF):
```
data_Ta2CrSb
_chemical_formula_sum 'Ta2 Cr1 Sb1'
_cell_length_a 3.0735
_cell_length_b 4.4296
_cell_length_c 5.3557
_cell_angle_alpha 90.00
_cell_angle_beta 102.08
_cell_angle_gamma 90.00
_space_group_name_H-M_alt 'P 1 m 1'
_space_group_IT_number 6
loop_
_space_group_symop_operation_xyz
'x,y,z'
'x,-y,z'
loop_
_atom_site_label
_atom_site_fract_x
_atom_site_fract_y
_atom_site_fract_z
Ta1 0.0000 0.0000 0.0000
Ta2 0.2797 0.5000 0.7325
Cr1 0.7132 0.5000 0.1755
Sb1 0.6817 0.0000 0.4673
```

---

The following is a DFT calculation (PBE) of a geometry-optimized TaCrTcSb structure.

As for the crystal system: cubic. As for the raw formation energy: -1 kJ per mole of atoms. Its density of states at the Fermi level is 3.16 states/eV/f.u. The calculation puts the size of the total moment at 1.5 μB per cell.

Structure (CIF):
```
data_TaCrTcSb
_chemical_formula_sum 'Ta4 Cr4 Tc4 Sb4'
_cell_length_a 6.3365
_cell_length_b 6.3365
_cell_length_c 6.3365
_cell_angle_alpha 90.00
_cell_angle_beta 90.00
_cell_angle_gamma 90.00
_space_group_name_H-M_alt 'F -4 3 m'
_space_group_IT_number 216
_space_group_name_Hall 'F -4 2 3'
loop_
_atom_site_label
_atom_site_fract_x
_atom_site_fract_y
_atom_site_fract_z
Ta1 0.0000 0.0000 0.0000
Cr1 0.2500 0.2500 0.7500
Tc1 0.2500 0.2500 0.2500
Sb1 0.0000 0.0000 0.5000
```

---

The following is a DFT calculation (PBE) of a geometry-optimized TaVCrSb2 structure.

As for the crystal system: tetragonal. As for the raw formation energy: 101 kJ per mole of atoms. Its density of states at the Fermi level is 5.97 states/eV/f.u. The calculation puts the size of the total moment at 3.7 μB per cell.

Structure (CIF):
```
data_TaVCrSb2
_chemical_formula_sum 'Ta1 V1 Cr1 Sb2'
_cell_length_a 4.9315
_cell_length_b 4.9315
_cell_length_c 4.6302
_cell_angle_alpha 90.00
_cell_angle_beta 90.00
_cell_angle_gamma 90.00
_space_group_name_H-M_alt 'P 4/m m m'
_space_group_IT_number 123
_space_group_name_Hall '-P 4 2'
loop_
_atom_site_label
_atom_site_fract_x
_atom_site_fract_y
_atom_site_fract_z
Ta1 0.0000 0.0000 0.0000
V1 0.5000 0.5000 0.0000
Cr1 0.0000 0.0000 0.5000
Sb1 0.0000 0.5000 0.5000
```

---

The following is a DFT calculation (PBE) of a geometry-optimized TaV2CrSb structure.

As for the crystal system: tetragonal. As for the raw formation energy: 159 kJ per mole of atoms. Its density of states at the Fermi level is 4.80 states/eV/f.u. The calculation puts the size of the total moment at 3.7 μB per cell.

Structure (CIF):
```
data_TaV2CrSb
_chemical_formula_sum 'Ta1 V2 Cr1 Sb1'
_cell_length_a 4.7314
_cell_length_b 4.7314
_cell_length_c 4.6748
_cell_angle_alpha 90.00
_cell_angle_beta 90.00
_cell_angle_gamma 90.00
_space_group_name_H-M_alt 'P 4/m m m'
_space_group_IT_number 123
_space_group_name_Hall '-P 4 2'
loop_
_atom_site_label
_atom_site_fract_x
_atom_site_fract_y
_atom_site_fract_z
Ta1 0.0000 0.0000 0.0000
V1 0.0000 0.5000 0.5000
Cr1 0.5000 0.5000 0.0000
Sb1 0.5000 0.5000 0.5000
```

---

The following is a DFT calculation (PBE) of a geometry-optimized Y2TaCrSb structure.

As for the crystal system: tetragonal. As for the raw formation energy: 36 kJ per mole of atoms. Its density of states at the Fermi level is 8.11 states/eV/f.u. The calculation puts the size of the total moment at 0.3 μB per cell.

Structure (CIF):
```
data_Y2TaCrSb
_chemical_formula_sum 'Y2 Ta1 Cr1 Sb1'
_cell_length_a 5.3051
_cell_length_b 5.3051
_cell_length_c 4.4910
_cell_angle_alpha 90.00
_cell_angle_beta 90.00
_cell_angle_gamma 90.00
_space_group_name_H-M_alt 'P 4/m m m'
_space_group_IT_number 123
_space_group_name_Hall '-P 4 2'
loop_
_atom_site_label
_atom_site_fract_x
_atom_site_fract_y
_atom_site_fract_z
Y1 0.0000 0.5000 0.0000
Ta1 0.0000 0.0000 0.5000
Cr1 0.0000 0.0000 0.0000
Sb1 0.5000 0.5000 0.5000
```